This record from OQMD describes Ba2ZnTe3 after structural relaxation. The functional is GGA-PBE.

extended XYZ file:
```
24
Lattice="9.829 0.000 0.000 0.000 4.721 0.000 0.000 0.000 19.044" Properties=species:S:1:pos:R:3 pbc="T T T"
Ba 7.414 3.540 18.239
Ba 7.330 1.180 8.717
Ba 0.822 3.540 5.495
Ba 4.093 1.180 15.017
Ba 5.736 3.540 4.027
Ba 2.499 3.540 10.328
Ba 9.007 1.180 13.549
Ba 2.415 1.180 0.806
Te 9.784 3.540 1.936
Te 1.181 1.180 8.197
Te 8.037 1.180 5.244
Te 4.960 1.180 11.458
Te 3.122 1.180 4.278
Te 8.649 3.540 10.848
Te 6.707 3.540 14.766
Te 4.869 3.540 7.586
Te 1.792 3.540 13.801
Te 0.045 1.180 17.108
Te 6.095 1.180 1.326
Te 3.734 3.540 17.719
Zn 6.296 3.540 12.114
Zn 1.381 3.540 16.452
Zn 8.448 1.180 2.592
Zn 3.533 1.180 6.930
```

Computed properties:
- Electronic total energy: -89.92 eV/cell
- ρ: 5.43 g/cm3


This record from OQMD describes BaZn2Te3 after structural relaxation. The functional is GGA-PBE.

extended XYZ file:
```
12
Lattice="7.416 -2.175 0.000 7.416 2.175 0.000 0.000 0.000 11.336" Properties=species:S:1:pos:R:3 pbc="T T T"
Te 5.508 0.000 0.566
Te 13.794 0.000 8.502
Te 1.038 0.000 2.834
Te 9.324 0.000 6.234
Te 5.508 0.000 5.102
Te 9.324 0.000 10.770
Zn 6.888 0.000 2.834
Zn 0.000 0.000 5.668
Zn 7.944 0.000 8.502
Zn 0.000 0.000 0.000
Ba 3.608 0.000 8.502
Ba 11.223 0.000 2.834
```

Computed properties:
- Electronic total energy: -36.54 eV/cell
- ρ: 5.91 g/cm3


The lowest ρ belongs to which entry?
Ba2ZnTe3